Crystalline Cs2Cu3NiF10 at its relaxed geometry. Source: Alexandria via LeMat-Bulk, functional PBE+U.

Output
* M_tot: 5.017 μB/cell
* E: -67.2 eV/f.u.

abc: 6.6709 6.9407 7.2069
angles: 98.90 117.11 110.65
Last column: nearest neighbours and their distance in Å.
Space group P-1 (No. 2)
Symmetry-distinct sites (fractional):
Cs  0.2293  0.3705  0.1272 (multiplicity 2)  7 F 2.91-3.24
Cu  0.0000  0.0000  0.5000 (multiplicity 1)  4 F 1.89-1.95
Cu  0.0000  0.5000  0.5000 (multiplicity 1)  4 F 1.88-1.94
Cu  0.5000  0.0000  0.5000 (multiplicity 1)  4 F 1.91-2.03
Ni  0.5000  0.0000  0.0000 (multiplicity 1)  6 F 2.02-2.06
F  0.1400  0.7077  0.3953 (multiplicity 2)  1 Cu 1.88
F  0.1865  0.0260  0.8026 (multiplicity 2)  1 Cu 1.89, 1 Ni 2.02
F  0.2984  0.6646  0.8082 (multiplicity 2)  1 Cu 1.94, 1 Ni 2.06
F  0.3156  0.1737  0.5182 (multiplicity 2)  2 Cu 1.95-2.03
F  0.3476  0.9434  0.1863 (multiplicity 2)  1 Cu 1.91, 1 Ni 2.03